No. 1
A geometry-optimized Mg2SiO4 structure. Source: Alexandria via LeMat-Bulk, functional GGA-PBE.

Geometry as CIF:
```
data_Mg2SiO4
_symmetry_space_group_name_H-M 'P -3 m 1'
_symmetry_Int_Tables_number 164
_symmetry_space_group_name_Hall '-P 3 2"'
_cell_length_a 6.0142
_cell_length_b 6.0142
_cell_length_c 4.8269
_cell_angle_alpha 90.00
_cell_angle_beta 90.00
_cell_angle_gamma 120.00
loop_
_atom_site_label
_atom_site_fract_x
_atom_site_fract_y
_atom_site_fract_z
_atom_site_occupancy
Mg1 0.0000 0.0000 0.0000 1
Mg2 0.0000 0.5000 0.5000 1
Si1 0.3333 0.6667 0.9270 1
O1 0.1886 0.3772 0.7768 1
O2 0.3333 0.6667 0.2650 1
```

Values from the calculation:
- formation energy without anion corrections (eV per atom) = -2.762
- magnetic moment (μB/atom) = 0.00
- E above lowest polymorph (meV per atom) = 62.5

No. 2
A geometry-optimized MgSiO structure. Source: Alexandria via LeMat-Bulk, functional GGA-PBE.

Geometry as CIF:
```
data_MgSiO
_symmetry_space_group_name_H-M 'C 1 m 1'
_symmetry_Int_Tables_number 8
_symmetry_space_group_name_Hall 'C -2y'
_cell_length_a 9.804
_cell_length_b 3.316
_cell_length_c 5.485
_cell_angle_alpha 90.00
_cell_angle_beta 103.77
_cell_angle_gamma 90.00
loop_
_atom_site_label
_atom_site_fract_x
_atom_site_fract_y
_atom_site_fract_z
_atom_site_occupancy
Mg1 0.000 0.000 0.000 1
Mg2 0.015 0.500 0.507 1
Si1 0.276 0.500 0.361 1
Si2 0.278 0.000 0.688 1
O1 0.098 0.500 0.198 1
O2 0.102 0.000 0.710 1
```

Values from the calculation:
- formation energy without anion corrections (eV per atom) = -1.381
- magnetic moment (μB/atom) = 0.00
- E above lowest polymorph (meV per atom) = 45.6

No. 3
A geometry-optimized Mg2SiO4 structure. Source: Alexandria via LeMat-Bulk, functional GGA-PBE.

Geometry as CIF:
```
data_Mg2SiO4
_symmetry_space_group_name_H-M 'I 4/m m m'
_symmetry_Int_Tables_number 139
_symmetry_space_group_name_Hall '-I 4 2'
_cell_length_a 3.500
_cell_length_b 3.500
_cell_length_c 10.732
_cell_angle_alpha 90.00
_cell_angle_beta 90.00
_cell_angle_gamma 90.00
loop_
_atom_site_label
_atom_site_fract_x
_atom_site_fract_y
_atom_site_fract_z
_atom_site_occupancy
Mg1 0.000 0.000 0.150 1
Si1 0.000 0.000 0.500 1
O1 0.000 0.000 0.333 1
O2 0.000 0.500 0.000 1
```

Values from the calculation:
- formation energy without anion corrections (eV per atom) = -2.445
- magnetic moment (μB/atom) = 0.00
- E above lowest polymorph (meV per atom) = 379.6

No. 4
A geometry-optimized Mg2SiO4 structure. Source: Alexandria via LeMat-Bulk, functional GGA-PBE.

Geometry as CIF:
```
data_Mg2SiO4
_symmetry_space_group_name_H-M 'P -1'
_symmetry_Int_Tables_number 2
_symmetry_space_group_name_Hall '-P 1'
_cell_length_a 5.107
_cell_length_b 5.785
_cell_length_c 10.037
_cell_angle_alpha 92.08
_cell_angle_beta 99.28
_cell_angle_gamma 107.67
loop_
_atom_site_label
_atom_site_fract_x
_atom_site_fract_y
_atom_site_fract_z
_atom_site_occupancy
Mg1 0.000 0.000 0.000 1
Mg2 0.000 0.500 0.000 1
Mg3 0.047 0.302 0.279 1
Mg4 0.480 0.833 0.594 1
Mg5 0.498 0.115 0.857 1
Si1 0.118 0.247 0.606 1
Si2 0.491 0.604 0.871 1
O1 0.221 0.827 0.420 1
O2 0.230 0.038 0.685 1
O3 0.243 0.313 0.468 1
O4 0.252 0.523 0.709 1
O5 0.266 0.787 0.930 1
O6 0.288 0.549 0.172 1
O7 0.290 0.329 0.950 1
O8 0.296 0.124 0.179 1
```

Values from the calculation:
- formation energy without anion corrections (eV per atom) = -2.692
- magnetic moment (μB/atom) = 0.00
- E above lowest polymorph (meV per atom) = 132.8

No. 5
A geometry-optimized Mg2SiO4 structure. Source: Alexandria via LeMat-Bulk, functional GGA-PBE.

Geometry as CIF:
```
data_Mg2SiO4
_symmetry_space_group_name_H-M 'I m m a'
_symmetry_Int_Tables_number 74
_symmetry_space_group_name_Hall '-I 2b 2'
_cell_length_a 5.716
_cell_length_b 5.830
_cell_length_c 8.353
_cell_angle_alpha 90.00
_cell_angle_beta 90.00
_cell_angle_gamma 90.00
loop_
_atom_site_label
_atom_site_fract_x
_atom_site_fract_y
_atom_site_fract_z
_atom_site_occupancy
Mg1 0.000 0.000 0.000 1
Mg2 0.000 0.250 0.391 1
Si1 0.250 0.250 0.750 1
O1 0.000 0.035 0.750 1
O2 0.240 0.250 0.960 1
```

Values from the calculation:
- formation energy without anion corrections (eV per atom) = -2.671
- magnetic moment (μB/atom) = 0.00
- E above lowest polymorph (meV per atom) = 153.9

No. 6
A geometry-optimized Mg2SiO4 structure. Source: Alexandria via LeMat-Bulk, functional GGA-PBE.

Geometry as CIF:
```
data_Mg2SiO4
_symmetry_space_group_name_H-M 'P 1 2/m 1'
_symmetry_Int_Tables_number 10
_symmetry_space_group_name_Hall '-P 2y'
_cell_length_a 4.800
_cell_length_b 6.073
_cell_length_c 10.499
_cell_angle_alpha 90.00
_cell_angle_beta 90.16
_cell_angle_gamma 90.00
loop_
_atom_site_label
_atom_site_fract_x
_atom_site_fract_y
_atom_site_fract_z
_atom_site_occupancy
Mg1 0.000 0.000 0.000 1
Mg2 0.000 0.000 0.500 1
Mg3 0.000 0.500 0.000 1
Mg4 0.007 0.257 0.741 1
Mg5 0.500 0.500 0.500 1
Si1 0.404 0.500 0.166 1
Si2 0.421 0.000 0.669 1
O1 0.239 0.285 0.098 1
O2 0.240 0.000 0.333 1
O3 0.248 0.000 0.808 1
O4 0.258 0.500 0.834 1
O5 0.269 0.500 0.313 1
O6 0.278 0.216 0.593 1
```

Values from the calculation:
- formation energy without anion corrections (eV per atom) = -2.683
- magnetic moment (μB/atom) = 0.00
- E above lowest polymorph (meV per atom) = 141.3

No. 7
A geometry-optimized MgSi5O10 structure. Source: Alexandria via LeMat-Bulk, functional GGA-PBE.

Geometry as CIF:
```
data_MgSi5O10
_symmetry_space_group_name_H-M 'P -4 m 2'
_symmetry_Int_Tables_number 115
_symmetry_space_group_name_Hall 'P -4 -2'
_cell_length_a 6.969
_cell_length_b 6.969
_cell_length_c 6.474
_cell_angle_alpha 90.00
_cell_angle_beta 90.00
_cell_angle_gamma 90.00
loop_
_atom_site_label
_atom_site_fract_x
_atom_site_fract_y
_atom_site_fract_z
_atom_site_occupancy
Mg1 0.000 0.000 0.000 1
Si1 0.231 0.500 0.381 1
Si2 0.500 0.500 0.000 1
O1 0.000 0.500 0.380 1
O2 0.308 0.308 0.500 1
O3 0.308 0.500 0.143 1
```

Values from the calculation:
- formation energy without anion corrections (eV per atom) = -2.511
- magnetic moment (μB/atom) = 0.00

No. 8
A geometry-optimized MgSi6O12 structure. Source: Alexandria via LeMat-Bulk, functional GGA-PBE.

Geometry as CIF:
```
data_MgSi6O12
_symmetry_space_group_name_H-M 'P -1'
_symmetry_Int_Tables_number 2
_symmetry_space_group_name_Hall '-P 1'
_cell_length_a 5.351
_cell_length_b 7.192
_cell_length_c 7.632
_cell_angle_alpha 84.66
_cell_angle_beta 83.50
_cell_angle_gamma 74.42
loop_
_atom_site_label
_atom_site_fract_x
_atom_site_fract_y
_atom_site_fract_z
_atom_site_occupancy
Mg1 0.000 0.000 0.000 1
Si1 0.062 0.706 0.291 1
Si2 0.094 0.261 0.299 1
Si3 0.493 0.943 0.158 1
O1 0.038 0.750 0.495 1
O2 0.062 0.800 0.839 1
O3 0.133 0.481 0.259 1
O4 0.206 0.177 0.806 1
O5 0.287 0.803 0.178 1
O6 0.394 0.113 0.296 1
```

Values from the calculation:
- formation energy without anion corrections (eV per atom) = -2.563
- magnetic moment (μB/atom) = 0.01
- E above lowest polymorph (meV per atom) = 9.2

No. 9
A geometry-optimized MgSi3O structure. Source: Alexandria via LeMat-Bulk, functional GGA-PBE.

Geometry as CIF:
```
data_MgSi3O
_symmetry_space_group_name_H-M 'P m -3 m'
_symmetry_Int_Tables_number 221
_symmetry_space_group_name_Hall '-P 4 2 3'
_cell_length_a 4.840
_cell_length_b 4.840
_cell_length_c 4.840
_cell_angle_alpha 90.00
_cell_angle_beta 90.00
_cell_angle_gamma 90.00
loop_
_atom_site_label
_atom_site_fract_x
_atom_site_fract_y
_atom_site_fract_z
_atom_site_occupancy
Mg1 0.000 0.000 0.000 1
Si1 0.000 0.000 0.500 1
O1 0.500 0.500 0.500 1
```

Values from the calculation:
- formation energy without anion corrections (eV per atom) = 1.534
- magnetic moment (μB/atom) = 0.09
- E above lowest polymorph (meV per atom) = 1444.2

No. 10
A geometry-optimized MgSiO structure. Source: Alexandria via LeMat-Bulk, functional GGA-PBE.

Geometry as CIF:
```
data_MgSiO
_symmetry_space_group_name_H-M 'C 1 m 1'
_symmetry_Int_Tables_number 8
_symmetry_space_group_name_Hall 'C -2y'
_cell_length_a 5.506
_cell_length_b 3.120
_cell_length_c 5.140
_cell_angle_alpha 90.00
_cell_angle_beta 111.18
_cell_angle_gamma 90.00
loop_
_atom_site_label
_atom_site_fract_x
_atom_site_fract_y
_atom_site_fract_z
_atom_site_occupancy
Mg1 0.000 0.000 0.000 1
Si1 0.020 0.500 0.559 1
O1 0.397 0.000 0.196 1
```

Values from the calculation:
- formation energy without anion corrections (eV per atom) = -1.295
- magnetic moment (μB/atom) = 0.00
- E above lowest polymorph (meV per atom) = 132.0

no.,D(E_F) (states/eV per atom),DFT total energy (eV/cell),mass density (g/cm³)
1,0.00,-95.56,3.1
2,0.07,-64.48,2.6
3,0.00,-91.12,3.6
4,0.00,-189.15,3.4
5,0.00,-188.56,3.4
6,0.00,-188.91,3.1
7,0.00,-118.47,1.7
8,0.00,-142.33,2.3
9,0.61,-15.15,1.8
10,0.28,-31.72,2.8